Entry from Alexandria: a relaxed BaCe2NiN4 crystal (GGA-PBE).

ΔE_f (raw) (eV/atom): -0.96
Mass density (Mg/m³): 6.8
SG: Cmcm (63)

Cell: 6.231 6.231 11.976 Å, 90.00 90.00 145.97°
Positions (direct):
Ba1 0.101 0.899 0.750
Ba2 0.899 0.101 0.250
Ce1 0.365 0.635 0.553
Ce2 0.365 0.635 0.947
Ce3 0.635 0.365 0.053
Ce4 0.635 0.365 0.447
Ni1 0.179 0.821 0.250
Ni2 0.821 0.179 0.750
N1 0.000 0.000 0.000
N2 0.000 0.000 0.500
N3 0.251 0.749 0.106
N4 0.251 0.749 0.394
N5 0.383 0.617 0.750
N6 0.617 0.383 0.250
N7 0.749 0.251 0.606
N8 0.749 0.251 0.894

***

Entry from Alexandria: a relaxed Ba2CeNpN4 crystal (GGA-PBE).

ΔE_f (raw) (eV/atom): -0.98
Mass density (Mg/m³): 8.1
SG: P2/m (10)

Cell: 6.234 3.659 6.691 Å, 90.00 107.32 90.00°
Positions (direct):
Ba1 0.000 0.000 0.000
Ba2 0.500 0.500 0.000
Ce1 0.000 0.500 0.500
Np1 0.500 0.000 0.500
N1 0.257 0.000 0.671
N2 0.288 0.500 0.328
N3 0.712 0.500 0.672
N4 0.743 0.000 0.329

***

Entry from Alexandria: a relaxed BaCeNpN4 crystal (GGA-PBE).

ΔE_f (raw) (eV/atom): -0.99
Mass density (Mg/m³): 8.1
SG: I4mm (107)

Cell: 7.163 7.163 7.163 Å, 145.53 145.53 49.54°
Positions (direct):
Ba1 0.000 0.000 0.000
Ce1 0.703 0.703 0.000
Np1 0.351 0.351 0.000
N1 0.196 0.196 0.000
N2 0.336 0.836 0.500
N3 0.535 0.535 0.000
N4 0.836 0.336 0.500

***

Entry from Alexandria: a relaxed Ba3Ce2NpN6 crystal (GGA-PBE).

ΔE_f (raw) (eV/atom): -1.02
Mass density (Mg/m³): 7.7
SG: C2/m (12)

Cell: 6.297 6.297 6.727 Å, 98.97 98.97 119.92°
Positions (direct):
Ba1 0.000 0.000 0.000
Ba2 0.331 0.669 0.000
Ba3 0.669 0.331 0.000
Ce1 0.166 0.834 0.500
Ce2 0.834 0.166 0.500
Np1 0.500 0.500 0.500
N1 0.138 0.442 0.327
N2 0.253 0.253 0.678
N3 0.442 0.138 0.327
N4 0.558 0.862 0.673
N5 0.747 0.747 0.322
N6 0.862 0.558 0.673

***

Entry from Alexandria: a relaxed Ba2Ce4P3N2 crystal (GGA-PBE).

ΔE_f (raw) (eV/atom): -1.18
Mass density (Mg/m³): 5.8
SG: I4/mmm (139)

Cell: 12.908 12.908 12.908 Å, 159.07 159.07 29.77°
Positions (direct):
Ba1 0.199 0.199 0.000
Ba2 0.801 0.801 0.000
Ce1 0.077 0.577 0.500
Ce2 0.423 0.923 0.500
Ce3 0.577 0.077 0.500
Ce4 0.923 0.423 0.500
P1 0.340 0.340 0.000
P2 0.500 0.500 0.000
P3 0.660 0.660 0.000
N1 0.089 0.089 0.000
N2 0.911 0.911 0.000

***

Entry from Alexandria: a relaxed BaCe2P2N6 crystal (GGA-PBE).

ΔE_f (raw) (eV/atom): -0.87
Mass density (Mg/m³): 4.7
SG: P-1 (2)

Cell: 5.994 6.077 6.710 Å, 100.44 112.63 110.07°
Positions (direct):
Ba1 0.000 0.000 0.000
Ce1 0.374 0.294 0.672
Ce2 0.626 0.706 0.328
P1 0.298 0.751 0.725
P2 0.702 0.249 0.275
N1 0.090 0.861 0.628
N2 0.337 0.657 0.938
N3 0.483 0.728 0.611
N4 0.517 0.272 0.389
N5 0.663 0.343 0.062
N6 0.910 0.139 0.372

***

Q: What is the ΔE_f (raw) in the first record?
A: -0.96 eV/atom

***

Q: Which formula does entry 5 have?
A: Ba2Ce4P3N2

***

Q: Which of these has the lowest ΔE_f (raw)?
A: Ba2Ce4P3N2

***

Q: The highest ΔE_f (raw) belongs to which entry?
A: BaCe2P2N6